[1]
This record from Alexandria describes an optimized crystal structure of Co6As7. The functional is GGA-PBE.

Properties
Calculated total energy   -0.38318 Ry per atom
ΔH_f (0 K)   55.0 kJ/mol of atoms
Calculated volume   650.2 Å³ per cell

CIF file:
```
data_Co6As7
_space_group_name_H-M_alt 'R -3 m'
_space_group_IT_number 166
_space_group_name_Hall '-R 3 2"'
_cell_length_a 5.4292
_cell_length_b 5.4292
_cell_length_c 25.4714
_cell_angle_alpha 90.00
_cell_angle_beta 90.00
_cell_angle_gamma 120.00
loop_
_atom_site_label
_atom_site_type_symbol
_atom_site_fract_x
_atom_site_fract_y
_atom_site_fract_z
Co1 Co 0.0000 0.0000 0.0919
Co2 Co 0.0000 0.0000 0.1818
Co3 Co 0.0000 0.0000 0.3360
As1 As 0.0000 0.0000 0.5000
As2 As 0.0072 0.5036 0.9283
```

---

[2]
This record from Alexandria describes an optimized crystal structure of Co3As. The functional is GGA-PBE.

Properties
Calculated total energy   -0.47076 Ry per atom
ΔH_f (0 K)   8.4 kJ/mol of atoms
Calculated volume   92.9 Å³ per cell

CIF file:
```
data_Co3As
_space_group_name_H-M_alt 'C m m m'
_space_group_IT_number 65
_space_group_name_Hall '-C 2 2'
_cell_length_a 5.086
_cell_length_b 6.651
_cell_length_c 2.746
_cell_angle_alpha 90.00
_cell_angle_beta 90.00
_cell_angle_gamma 90.00
loop_
_atom_site_label
_atom_site_type_symbol
_atom_site_fract_x
_atom_site_fract_y
_atom_site_fract_z
Co1 Co 0.000 0.000 0.000
Co2 Co 0.250 0.250 0.500
As1 As 0.000 0.500 0.000
```

---

Among the records above, which one has the highest calculated total energy?
Co6As7

---

Which formula does entry 1 have?
Co6As7

---

Which of these has the highest calculated volume?
Co6As7